The following is a DFT calculation (PBE) of a relaxed structure of CrTeOsN2.

Geometry as extended XYZ:
```
5
Lattice="-0.2333 2.6649 2.6008 -0.7719 -2.5839 2.5784 5.6970 -0.5893 1.1148" Properties=species:S:1:pos:R:3 pbc="T T T"
Os 2.3459 -0.2541 3.1470
N -0.3859 -1.2919 1.2892
N -0.1166 1.3325 1.3004
Cr 0.0000 0.0000 0.0000
Te 2.8485 -0.2947 0.5574
```

Calculated values
Spin magnetization = 1.6 μB/f.u.
ΔE to the lowest computed polymorph = 547 meV per atom
Formation energy from raw total energies = 1.25 eV/atom
E_tot = -6.8820 eV per atom

=====

The following is a DFT calculation (PBE) of a relaxed structure of CrTeOsN2.

Geometry as extended XYZ:
```
5
Lattice="-1.7487 3.2487 1.0381 -3.3927 -1.5376 -0.9033 -0.5325 -2.0299 5.4553" Properties=species:S:1:pos:R:3 pbc="T T T"
Cr -2.8370 -0.1593 2.7950
Os 0.0000 0.0000 0.0000
Te -0.2663 -1.0149 2.7276
N -0.8744 1.6244 0.5191
N -1.6963 -0.7688 -0.4517
```

Calculated values
Spin magnetization = 4.1 μB/f.u.
ΔE to the lowest computed polymorph = 0 meV per atom
Formation energy from raw total energies = 0.70 eV/atom
E_tot = -7.4285 eV per atom